No. 1
# Tb4Tm7Mg

Tb4Tm7Mg after structural relaxation (PBE, the Alexandria database).

Properties
Space group = No. 2
Crystal system = triclinic
Total magnetic moment = 0.00 μB/cell
Distance to the lowest polymorph of the same formula = 0 meV/atom

Unit cell a=6.7863 b=8.4727 c=11.8493 alpha=68.83 beta=45.22 gamma=49.66
Atoms (fractional coordinates):
Tm 0.4111 0.8173 0.3672
Tm 0.0442 0.1756 0.6765
Tm 0.8074 0.4561 0.9837
Mg 0.0000 0.0000 0.0000
Tb 0.5702 0.3615 0.3359
Tm 0.5889 0.1827 0.6328
Tb 0.1580 0.3106 0.3093
Tb 0.8420 0.6894 0.6907
Tb 0.4298 0.6385 0.6641
Tm 0.5000 0.0000 0.0000
Tm 0.1926 0.5439 0.0163
Tm 0.9558 0.8244 0.3235

=====

No. 2
# BaNiP2Se8

BaNiP2Se8 after structural relaxation (PBE, the Alexandria database).

Properties
Space group = No. 147
Formation energy without anion corrections = -0.39 eV per atom
Crystal system = trigonal
Total magnetic moment = 0.00 μB/cell

Unit cell a=6.2244 b=6.2244 c=9.1599 alpha=90.00 beta=90.00 gamma=120.00
Atoms (fractional coordinates):
Se 0.3333 0.6667 0.9602
Ba 0.0000 0.0000 0.0000
P 0.6667 0.3333 0.2791
Se 0.7063 0.6942 0.6685
Ni 0.0000 0.0000 0.5000
Se 0.0121 0.7063 0.3315
Se 0.6942 0.9879 0.3315
Se 0.3058 0.0121 0.6685
Se 0.2937 0.3058 0.3315
Se 0.9879 0.2937 0.6685
Se 0.6667 0.3333 0.0398
P 0.3333 0.6667 0.7209

=====

No. 3
# Tb3Dy12In

Tb3Dy12In after structural relaxation (PBE, the Alexandria database).

Properties
E_tot = -72.59 eV/cell
Space group = No. 123
Crystal system = tetragonal
Total magnetic moment = 0.00 μB/cell

Unit cell a=4.9543 b=4.9543 c=20.0993 alpha=90.00 beta=90.00 gamma=90.00
Atoms (fractional coordinates):
Tb 0.0000 0.0000 0.2484
Dy 0.0000 0.5000 0.3734
Dy 0.0000 0.5000 0.6266
Dy 0.0000 0.5000 0.8792
Dy 0.0000 0.5000 0.1208
Dy 0.5000 0.5000 0.5000
In 0.0000 0.0000 0.0000
Dy 0.5000 0.0000 0.3734
Dy 0.5000 0.5000 0.7554
Dy 0.5000 0.0000 0.8792
Tb 0.0000 0.0000 0.5000
Dy 0.5000 0.0000 0.1208
Tb 0.0000 0.0000 0.7516
Dy 0.5000 0.5000 0.0000
Dy 0.5000 0.5000 0.2446
Dy 0.5000 0.0000 0.6266

=====

No. 4
# YHo4In

YHo4In after structural relaxation (PBE, the Alexandria database).

Properties
Space group = No. 123
Crystal system = tetragonal
Total magnetic moment = 0.00 μB/cell
Distance to the lowest polymorph of the same formula = 0 meV/atom

Unit cell a=3.5523 b=3.5523 c=14.2203 alpha=90.00 beta=90.00 gamma=90.00
Atoms (fractional coordinates):
Ho 0.0000 0.0000 0.3520
Ho 0.5000 0.5000 0.8229
Y 0.0000 0.0000 0.0000
In 0.5000 0.5000 0.5000
Ho 0.0000 0.0000 0.6480
Ho 0.5000 0.5000 0.1771

=====

No. 5
# MgCdGaS2

MgCdGaS2 after structural relaxation (PBE, the Alexandria database).

Properties
Space group = No. 123
Formation energy without anion corrections = 0.36 eV per atom
Crystal system = tetragonal
Total magnetic moment = 0.00 μB/cell

Unit cell a=5.1245 b=5.1731 c=5.1245 alpha=90.00 beta=90.00 gamma=90.00
Atoms (fractional coordinates):
Ga 0.5000 0.5000 0.5000
Cd 0.0000 0.0000 0.0000
S 0.0000 0.0000 0.5000
S 0.5000 0.0000 0.0000
Mg 0.0000 0.5000 0.0000

=====

No. 6
# LiPm2H6Ir

LiPm2H6Ir after structural relaxation (PBE, the Alexandria database).

Properties
E_tot = -44.14 eV/cell
Space group = No. 164
Crystal system = trigonal
Total magnetic moment = 0.00 μB/cell

Unit cell a=4.9626 b=5.0576 c=5.0576 alpha=120.00 beta=90.00 gamma=90.00
Atoms (fractional coordinates):
Pm 0.2525 0.3333 0.6667
H 0.7763 0.1606 0.8394
H 0.2237 0.8394 0.1606
Pm 0.7475 0.6667 0.3333
H 0.7763 0.6787 0.8394
Li 0.5000 0.0000 0.0000
H 0.7763 0.1606 0.3213
Ir 0.0000 0.0000 0.0000
H 0.2237 0.8394 0.6787
H 0.2237 0.3213 0.1606